The following is a DFT calculation (PBE) of an optimized crystal structure of NbAl2Se2Cl8.

Energy: -4.32 eV per atom

Lattice parameters (Å, degrees): 9.059 9.991 18.369 90.00 116.96 90.00
Fractional coordinates of all 52 atoms:
Cl: 0.431 0.328 0.962
Cl: 0.000 0.321 0.882
Cl: 0.601 0.327 0.346
Nb: 0.914 0.393 0.441
Cl: 0.138 0.683 0.985
Cl: 0.726 0.334 0.670
Cl: 0.726 0.166 0.170
Cl: 0.856 0.464 0.292
Al: 0.069 0.768 0.240
Cl: 0.866 0.695 0.763
Nb: 0.086 0.607 0.559
Se: 0.792 0.989 0.031
Cl: 0.600 0.529 0.854
Cl: 0.862 0.183 0.515
Cl: 0.399 0.827 0.154
Cl: 0.400 0.471 0.146
Al: 0.931 0.268 0.260
Al: 0.931 0.232 0.760
Cl: 0.569 0.672 0.038
Cl: 0.569 0.828 0.538
Nb: 0.086 0.893 0.059
Nb: 0.914 0.107 0.941
Se: 0.799 0.639 0.427
Se: 0.208 0.489 0.469
Cl: 0.856 0.036 0.792
Cl: 0.431 0.172 0.462
Cl: 0.134 0.195 0.737
Al: 0.605 0.353 0.917
Al: 0.605 0.147 0.417
Cl: 0.274 0.666 0.330
Al: 0.069 0.732 0.740
Cl: 0.000 0.821 0.618
Al: 0.395 0.647 0.083
Cl: 0.400 0.029 0.646
Se: 0.208 0.011 0.969
Cl: 0.866 0.805 0.263
Cl: 0.601 0.173 0.846
Cl: 0.000 0.679 0.118
Cl: 0.000 0.179 0.382
Cl: 0.600 0.971 0.354
Cl: 0.399 0.673 0.654
Se: 0.799 0.861 0.927
Cl: 0.274 0.834 0.830
Cl: 0.134 0.305 0.237
Se: 0.201 0.361 0.573
Cl: 0.144 0.536 0.708
Cl: 0.138 0.817 0.485
Se: 0.792 0.511 0.531
Cl: 0.862 0.317 0.015
Cl: 0.144 0.964 0.208
Se: 0.201 0.139 0.073
Al: 0.395 0.853 0.583